[1]
Below is crystalline Li14P2N6O3 at its relaxed geometry, with properties calculated at the GGA-PBE level.

The calculation puts the uncorrected formation energy at -1.14 eV per atom. The calculation puts the volume at 226.92 Å³/cell. The total DFT energy (no corrections) comes out at -5.241 eV/atom.

Lattice parameters (Å, degrees): 5.7007 5.7007 8.0627 90.00 90.00 120.00
Fractional coordinates of all 25 atoms:
Li1 0.3785 0.0826 0.0909
Li2 0.7041 0.6215 0.0909
Li3 0.9174 0.2959 0.0909
Li4 0.6215 0.9174 0.9091
Li5 0.2959 0.3785 0.9091
Li6 0.0826 0.7041 0.9091
Li7 0.0451 0.3532 0.5895
Li8 0.3080 0.9549 0.5895
Li9 0.6468 0.6920 0.5895
Li10 0.9549 0.6468 0.4105
Li11 0.6920 0.0451 0.4105
Li12 0.3532 0.3080 0.4105
Li13 0.0000 0.0000 0.2489
Li14 0.0000 0.0000 0.7511
P1 0.6667 0.3333 0.7736
P2 0.3333 0.6667 0.2264
N1 0.3768 0.0715 0.8258
N2 0.6947 0.6232 0.8258
N3 0.9285 0.3053 0.8258
N4 0.6232 0.9285 0.1742
N5 0.3053 0.3768 0.1742
N6 0.0715 0.6947 0.1742
O1 0.6667 0.3333 0.5534
O2 0.3333 0.6667 0.4466
O3 0.0000 0.0000 0.5000

=====

[2]
Below is crystalline NdGa2Au5 at its relaxed geometry, with properties calculated at the GGA-PBE level.

As for the formation energy: -40 kJ/mol of atoms. The calculation puts the volume at 162.23 Å³/cell. The total DFT energy (no corrections) comes out at -3.817 eV/atom.

Lattice parameters (Å, degrees): 4.1114 6.8163 6.8163 65.47 72.45 72.45
Fractional coordinates of all 8 atoms:
Nd1 0.0000 0.0000 0.0000
Ga1 0.7546 0.7454 0.7454
Ga2 0.2454 0.2546 0.2546
Au1 0.0000 0.5000 0.5000
Au2 0.6352 0.5707 0.1589
Au3 0.3648 0.4293 0.8411
Au4 0.3648 0.8411 0.4293
Au5 0.6352 0.1589 0.5707

=====

[3]
Below is crystalline CaYPb3 at its relaxed geometry, with properties calculated at the GGA-PBE level.

As for the formation energy: 10 kJ/mol of atoms. The calculation puts the volume at 198.75 Å³/cell. The total DFT energy (no corrections) comes out at -3.815 eV/atom.

Lattice parameters (Å, degrees): 5.8358 5.8358 5.8358 90.00 90.00 90.00
Fractional coordinates of all 5 atoms:
Pb1 0.0000 0.5000 0.0000
Pb2 0.0000 0.0000 0.5000
Pb3 0.5000 0.0000 0.0000
Y1 0.0000 0.0000 0.0000
Ca1 0.5000 0.5000 0.5000

=====

[4]
Below is crystalline LiFe2I2Br6 at its relaxed geometry, with properties calculated at the GGA-PBE level.

The calculation puts the uncorrected formation energy at -0.52 eV per atom. The calculation puts the volume at 401.92 Å³/cell. The total DFT energy (no corrections) comes out at -3.431 eV/atom.

Lattice parameters (Å, degrees): 6.7501 6.7501 10.1854 90.00 90.00 120.00
Fractional coordinates of all 11 atoms:
Li1 0.0000 0.0000 0.0000
Fe1 0.3333 0.6667 0.7649
Fe2 0.6667 0.3333 0.2351
I1 0.3333 0.6667 0.5142
I2 0.6667 0.3333 0.4858
Br1 0.3272 0.3342 0.8358
Br2 0.0070 0.6728 0.8358
Br3 0.6658 0.9930 0.8358
Br4 0.6728 0.6658 0.1642
Br5 0.9930 0.3272 0.1642
Br6 0.3342 0.0070 0.1642

=====

[5]
Below is crystalline ErB4 at its relaxed geometry, with properties calculated at the GGA-PBE level.

As for the formation energy: 299 kJ/mol of atoms. The calculation puts the volume at 104.77 Å³/cell. The total DFT energy (no corrections) comes out at -3.159 eV/atom.

Lattice parameters (Å, degrees): 4.7142 4.7142 4.7142 90.00 90.00 90.00
Fractional coordinates of all 5 atoms:
B1 0.0000 0.0000 0.0000
B2 0.5000 0.0000 0.5000
B3 0.0000 0.5000 0.5000
B4 0.5000 0.5000 0.0000
Er1 0.5000 0.5000 0.5000

=====

[6]
Below is crystalline BaZn2Cd8Ag at its relaxed geometry, with properties calculated at the GGA-PBE level.

As for the formation energy: -7 kJ/mol of atoms. The calculation puts the volume at 281.76 Å³/cell. The total DFT energy (no corrections) comes out at -1.291 eV/atom.

Lattice parameters (Å, degrees): 5.8242 5.8242 10.9229 62.40 62.40 65.73
Fractional coordinates of all 12 atoms:
Ba1 0.0000 0.0000 0.5000
Zn1 0.6769 0.6769 0.2158
Zn2 0.3231 0.3231 0.7842
Cd1 0.8192 0.3520 0.7659
Cd2 0.7386 0.7386 0.9207
Cd3 0.6528 0.6528 0.4961
Cd4 0.3472 0.3472 0.5039
Cd5 0.2614 0.2614 0.0793
Cd6 0.3520 0.8192 0.7659
Cd7 0.6480 0.1808 0.2341
Cd8 0.1808 0.6480 0.2341
Ag1 0.0000 0.0000 0.0000

=====

Computed DOS(E_F), in the same sequence as the records: 0.00 2.84 4.16 5.59 5.18 6.05 states/eV/cell.